1.
This record from the Alexandria database describes a relaxed structure of PtPb. The functional is PBE-GGA.

Values from the calculation:
- D(E_F) (states/eV per cell) = 2.71
- spin magnetization (Bohr magnetons per cell) = 0.00
- energy (eV/atom) = -5.048

abc: 7.714 4.038 5.676
angles: 90.00 90.00 90.00
Space group Pnma (No. 62)
Inequivalent atoms, fractional coordinates:
Pt  0.064  0.250  0.148 [4 per cell]
Pb  0.172  0.250  0.632 [4 per cell]

2.
This record from the Alexandria database describes a relaxed structure of PtPb. The functional is PBE-GGA.

Values from the calculation:
- D(E_F) (states/eV per cell) = 13.49
- spin magnetization (Bohr magnetons per cell) = 0.00
- energy (eV/atom) = -4.871

abc: 7.088 8.342 13.749
angles: 90.00 90.00 90.00
Space group Fddd (No. 70, origin choice 2)
Inequivalent atoms, fractional coordinates:
Pt  0.125  0.125  0.025 [16 per cell]
Pb  0.125  0.321  0.625 [16 per cell]

3.
This record from the Alexandria database describes a relaxed structure of PtPb. The functional is PBE-GGA.

Values from the calculation:
- D(E_F) (states/eV per cell) = 1.89
- spin magnetization (Bohr magnetons per cell) = 0.00
- energy (eV/atom) = -4.823

abc: 4.7726 4.7726 5.6209
angles: 90.00 90.00 120.00
Space group P6_3/mmc (No. 194)
Inequivalent atoms, fractional coordinates:
Pt  0.3333  0.6667  0.2500 [2 per cell]
Pb  0.3333  0.6667  0.7500 [2 per cell]

4.
This record from the Alexandria database describes a relaxed structure of PtPb. The functional is PBE-GGA.

Values from the calculation:
- D(E_F) (states/eV per cell) = 2.85
- spin magnetization (Bohr magnetons per cell) = 0.00
- energy (eV/atom) = -5.114

abc: 4.3842 4.3842 5.5508
angles: 90.00 90.00 120.00
Space group P6_3/mmc (No. 194)
Inequivalent atoms, fractional coordinates:
Pt  0.0000  0.0000  0.0000 [2 per cell]
Pb  0.3333  0.6667  0.2500 [2 per cell]

5.
This record from the Alexandria database describes a relaxed structure of Pt6Pb. The functional is PBE-GGA.

Values from the calculation:
- D(E_F) (states/eV per cell) = 27.87
- spin magnetization (Bohr magnetons per cell) = 3.46
- energy (eV/atom) = -5.048

abc: 7.057 7.057 7.057
angles: 90.00 90.00 90.00
Space group Im-3m (No. 229)
Inequivalent atoms, fractional coordinates:
Pt  0.000  0.250  0.500 [12 per cell]
Pb  0.000  0.000  0.000 [2 per cell]

6.
This record from the Alexandria database describes a relaxed structure of PtPb. The functional is PBE-GGA.

Values from the calculation:
- D(E_F) (states/eV per cell) = 3.18
- spin magnetization (Bohr magnetons per cell) = 0.00
- energy (eV/atom) = -4.599

abc: 5.1724 5.1724 8.0135
angles: 90.00 90.00 120.00
Space group P6_3/mmc (No. 194)
Inequivalent atoms, fractional coordinates:
Pt  0.3333  0.6667  0.0832 [4 per cell]
Pb  0.0000  0.0000  0.2500 [2 per cell]
Pb  0.3333  0.6667  0.7500 [2 per cell]

7.
This record from the Alexandria database describes a relaxed structure of PtPb7. The functional is PBE-GGA.

Values from the calculation:
- D(E_F) (states/eV per cell) = 21.47
- spin magnetization (Bohr magnetons per cell) = 0.00
- energy (eV/atom) = -3.898

abc: 9.715 9.715 9.715
angles: 90.00 90.00 90.00
Space group Fm-3m (No. 225)
Inequivalent atoms, fractional coordinates:
Pt  0.000  0.000  0.000 [4 per cell]
Pb  0.000  0.000  0.500 [4 per cell]
Pb  0.000  0.250  0.250 [24 per cell]

8.
This record from the Alexandria database describes a relaxed structure of PtPb4. The functional is PBE-GGA.

Values from the calculation:
- D(E_F) (states/eV per cell) = 4.73
- spin magnetization (Bohr magnetons per cell) = 0.00
- energy (eV/atom) = -4.242

abc: 8.974 8.974 3.452
angles: 90.00 90.00 90.00
Space group I4/m (No. 87)
Inequivalent atoms, fractional coordinates:
Pt  0.000  0.000  0.000 [2 per cell]
Pb  0.077  0.261  0.500 [8 per cell]